1.
Here is a relaxed Rb2AcP2O7 crystal from Alexandria via LeMat-Bulk. Energies are from PBE.

Results
Raw formation energy (eV/atom): -2.350
SG: R-3m

Cell lengths 5.796, 5.796, 8.324 Å; angles 69.62, 69.62, 60.00 degrees
Last column: magnetic moment on the atom in μB.
Fractional positions:
Rb 0.708 0.708 0.876  0.01
Rb 0.292 0.292 0.124  0.01
Ac 0.500 0.500 0.500  0.05
P 0.929 0.929 0.214  0.00
P 0.071 0.071 0.786  0.00
O 0.211 0.764 0.261  0.01
O 0.764 0.211 0.261  0.01
O 0.764 0.764 0.261  0.01
O 0.236 0.236 0.739  0.01
O 0.789 0.236 0.739  0.01
O 0.000 0.000 0.000  0.00
O 0.236 0.789 0.739  0.01

2.
Here is a relaxed Ac3Zn4Si4 crystal from Alexandria via LeMat-Bulk. Energies are from PBE.

Results
Raw formation energy (eV/atom): -0.506
SG: Immm

Cell lengths 4.527, 4.334, 12.848 Å; angles 80.33, 79.83, 90.02 degrees
Fractional positions:
Ac 0.148 0.648 0.705
Ac 0.852 0.352 0.295
Ac 0.000 0.000 0.000
Zn 0.596 0.096 0.808
Zn 0.250 0.249 0.501
Zn 0.750 0.751 0.499
Zn 0.404 0.904 0.192
Si 0.549 0.549 0.903
Si 0.451 0.451 0.097
Si 0.305 0.805 0.390
Si 0.695 0.195 0.610

3.
Here is a relaxed ZnSn2Pt crystal from Alexandria via LeMat-Bulk. Energies are from PBE.

Results
Formation energy (eV per atom): -0.12
SG: R-3m

Cell lengths 3.694, 3.694, 8.876 Å; angles 77.99, 77.99, 60.00 degrees
Fractional positions:
Zn 0.000 0.000 0.000
Sn 0.102 0.102 0.694
Sn 0.898 0.898 0.306
Pt 0.500 0.500 0.500

4.
Here is a relaxed V2Fe2P crystal from Alexandria via LeMat-Bulk. Energies are from PBE.

Results
Formation energy (eV per atom): 0.32
SG: I4/mmm

Cell lengths 3.782, 3.782, 5.434 Å; angles 69.63, 69.63, 90.00 degrees
Fractional positions:
P 0.000 0.000 0.000
Fe 0.385 0.385 0.230
Fe 0.615 0.615 0.770
V 0.750 0.250 0.500
V 0.250 0.750 0.500

5.
Here is a relaxed LiLaPt crystal from Alexandria via LeMat-Bulk. Energies are from PBE.

Results
Formation energy (eV per atom): -0.22
SG: F-43m

Cell lengths 4.823, 4.823, 4.823 Å; angles 60.00, 60.00, 60.00 degrees
Fractional positions:
La 0.750 0.750 0.750
Li 0.000 0.000 0.000
Pt 0.500 0.500 0.500

6.
Here is a relaxed MnZn6Pd crystal from Alexandria via LeMat-Bulk. Energies are from PBE.

Results
Formation energy (eV per atom): -0.15
SG: P-6m2

Cell lengths 4.379, 5.498, 5.498 Å; angles 119.99, 90.00, 90.00 degrees
Last column: magnetic moment on the atom in μB.
Fractional positions:
Mn 0.000 0.083 0.917  3.26
Zn 0.000 0.079 0.415  -0.03
Zn 0.000 0.585 0.921  -0.03
Zn 0.000 0.585 0.415  -0.03
Zn 0.500 0.410 0.080  -0.02
Zn 0.500 0.920 0.590  -0.02
Zn 0.500 0.920 0.080  -0.02
Pd 0.500 0.417 0.583  0.02

7.
Here is a relaxed LaYScZn crystal from Alexandria via LeMat-Bulk. Energies are from PBE.

Results
Formation energy (eV per atom): -0.15
SG: P4mm

Cell lengths 3.509, 3.509, 8.693 Å; angles 90.00, 90.00, 90.00 degrees
Fractional positions:
La 0.000 0.000 0.089
Y 0.500 0.500 0.767
Sc 0.500 0.500 0.379
Zn 0.000 0.000 0.550

8.
Here is a relaxed ScCd2Cu crystal from Alexandria via LeMat-Bulk. Energies are from PBE.

Results
Formation energy (eV per atom): -0.16
SG: P4mm

Cell lengths 3.230, 3.230, 7.451 Å; angles 90.00, 90.00, 90.00 degrees
Fractional positions:
Sc 0.500 0.500 0.714
Cu 0.000 0.000 0.502
Cd 0.000 0.000 0.001
Cd 0.500 0.500 0.283

9.
Here is a relaxed YbF3 crystal from Alexandria via LeMat-Bulk. Energies are from PBE.

Results
Raw formation energy (eV/atom): -3.442
SG: Pnma

Cell lengths 4.761, 6.224, 6.893 Å; angles 90.00, 90.00, 90.00 degrees
Last column: magnetic moment on the atom in μB.
Fractional positions:
Yb 0.960 0.636 0.750  0.74
Yb 0.460 0.864 0.250  0.74
Yb 0.540 0.136 0.750  0.74
Yb 0.040 0.364 0.250  0.74
F 0.127 0.967 0.750  0.11
F 0.627 0.533 0.250  0.11
F 0.373 0.467 0.750  0.11
F 0.873 0.033 0.250  0.11
F 0.349 0.160 0.064  0.07
F 0.849 0.340 0.936  0.07
F 0.151 0.660 0.436  0.07
F 0.651 0.840 0.564  0.07
F 0.651 0.840 0.936  0.07
F 0.151 0.660 0.064  0.07
F 0.849 0.340 0.564  0.07
F 0.349 0.160 0.436  0.07

10.
Here is a relaxed Tm2Pd3Pt crystal from Alexandria via LeMat-Bulk. Energies are from PBE.

Results
Formation energy (eV per atom): -0.63
SG: Ibam

Cell lengths 7.252, 8.627, 7.022 Å; angles 127.90, 121.09, 90.00 degrees
Fractional positions:
Tm 0.507 0.309 0.617
Tm 0.889 0.191 0.383
Tm 0.111 0.809 0.617
Tm 0.493 0.691 0.383
Pd 0.500 0.250 0.000
Pd 0.500 0.750 0.000
Pd 0.821 0.071 0.642
Pd 0.179 0.429 0.358
Pd 0.179 0.929 0.358
Pd 0.821 0.571 0.642
Pt 0.000 0.500 0.000
Pt 0.000 0.000 0.000

11.
Here is a relaxed GePtI6 crystal from Alexandria via LeMat-Bulk. Energies are from PBE.

Results
Raw formation energy (eV/atom): -0.116
SG: C2/m

Cell lengths 7.060, 7.438, 7.438 Å; angles 123.43, 98.67, 98.67 degrees
Fractional positions:
Ge 0.000 0.000 0.000
Pt 0.500 0.500 0.500
I 0.727 0.578 0.870
I 0.727 0.870 0.578
I 0.273 0.130 0.422
I 0.273 0.422 0.130
I 0.758 0.239 0.239
I 0.242 0.761 0.761

12.
Here is a relaxed MgMn2As2 crystal from Alexandria via LeMat-Bulk. Energies are from PBE.

Results
Formation energy (eV per atom): 0.09
SG: I4/mmm

Cell lengths 4.475, 4.475, 5.147 Å; angles 64.23, 64.23, 90.00 degrees
Last column: magnetic moment on the atom in μB.
Fractional positions:
As 0.750 0.250 0.500  -0.04
As 0.250 0.750 0.500  -0.04
Mn 0.377 0.377 0.245  1.00
Mn 0.623 0.623 0.755  1.00
Mg 0.000 0.000 0.000  0.00

13.
Here is a relaxed Y3Ni2Ag crystal from Alexandria via LeMat-Bulk. Energies are from PBE.

Results
Formation energy (eV per atom): -0.35
SG: P4/mmm

Cell lengths 3.466, 3.466, 10.537 Å; angles 90.00, 90.00, 90.00 degrees
Fractional positions:
Y 0.000 0.000 0.000
Y 0.000 0.000 0.687
Y 0.000 0.000 0.313
Ni 0.500 0.500 0.840
Ni 0.500 0.500 0.160
Ag 0.500 0.500 0.500

14.
Here is a relaxed SrHg2Cl crystal from Alexandria via LeMat-Bulk. Energies are from PBE.

Results
Raw formation energy (eV/atom): -0.934
SG: Pm

Cell lengths 4.287, 4.331, 6.743 Å; angles 73.95, 90.00, 90.00 degrees
Fractional positions:
Cl 0.500 0.768 0.642
Hg 0.000 0.976 0.118
Hg 0.500 0.455 0.163
Sr 0.000 0.301 0.577

15.
Here is a relaxed InHgTe2 crystal from Alexandria via LeMat-Bulk. Energies are from PBE.

Results
Raw formation energy (eV/atom): 0.116
SG: R-3m

Cell lengths 13.368, 13.368, 13.368 Å; angles 14.06, 14.06, 14.06 degrees
Fractional positions:
Hg 0.250 0.250 0.250
In 0.750 0.750 0.750
Te 0.006 0.006 0.006
Te 0.494 0.494 0.494

16.
Here is a relaxed HfGaS2Cl crystal from Alexandria via LeMat-Bulk. Energies are from PBE.

Results
Raw formation energy (eV/atom): 0.006
SG: P4/mmm

Cell lengths 4.712, 4.712, 4.549 Å; angles 90.00, 90.00, 90.00 degrees
Last column: magnetic moment on the atom in μB.
Fractional positions:
S 0.000 0.500 0.000  -0.03
S 0.500 0.000 0.000  -0.03
Hf 0.500 0.500 0.500  0.65
Ga 0.000 0.000 0.000  -0.01
Cl 0.000 0.000 0.500  -0.01

17.
Here is a relaxed Sc2TlFe crystal from Alexandria via LeMat-Bulk. Energies are from PBE.

Results
Formation energy (eV per atom): 0.22
SG: I-42d

Cell lengths 7.600, 7.600, 6.074 Å; angles 51.28, 51.28, 90.00 degrees
Fractional positions:
Sc 0.555 0.125 0.250
Sc 0.195 0.625 0.250
Sc 0.375 0.445 0.750
Sc 0.875 0.805 0.750
Tl 0.000 0.000 0.000
Tl 0.750 0.250 0.500
Fe 0.500 0.500 0.000
Fe 0.250 0.750 0.500

18.
Here is a relaxed CeDyBr6 crystal from Alexandria via LeMat-Bulk. Energies are from PBE.

Results
Raw formation energy (eV/atom): -1.809
SG: C2/m

Cell lengths 7.492, 7.492, 7.127 Å; angles 97.82, 97.82, 123.14 degrees
Last column: magnetic moment on the atom in μB.
Fractional positions:
Ce 0.000 0.000 0.000  0.98
Dy 0.500 0.500 0.500  0.00
Br 0.592 0.885 0.742  -0.01
Br 0.885 0.592 0.742  -0.01
Br 0.115 0.408 0.258  -0.01
Br 0.408 0.115 0.258  -0.01
Br 0.252 0.252 0.742  0.00
Br 0.748 0.748 0.258  0.00

19.
Here is a relaxed KIrOs2 crystal from Alexandria via LeMat-Bulk. Energies are from PBE.

Results
Formation energy (eV per atom): 0.76
SG: Pmm2

Cell lengths 2.704, 3.810, 7.866 Å; angles 90.00, 90.00, 90.00 degrees
Fractional positions:
Ir 0.000 0.000 0.420
K 0.500 0.500 0.745
Os 0.000 0.000 0.092
Os 0.500 0.500 0.242

20.
Here is a relaxed NbC3O crystal from Alexandria via LeMat-Bulk. Energies are from PBE.

Results
Raw formation energy (eV/atom): 2.160
SG: Pm-3m

Cell lengths 3.548, 3.548, 3.548 Å; angles 90.00, 90.00, 90.00 degrees
Fractional positions:
Nb 0.500 0.500 0.500
C 0.000 0.500 0.000
C 0.000 0.000 0.500
C 0.500 0.000 0.000
O 0.000 0.000 0.000